Below is an optimized crystal structure of Tm12ZnCu6, with properties calculated at the GGA-PBE level.

abc: 8.3898 8.3898 8.3898
angles: 109.21 109.21 109.21
Element x y z (fractional)
Tm 0.0093 0.1325 0.6923
Tm 0.1325 0.6923 0.0093
Tm 0.1616 0.3713 0.4680
Tm 0.3077 0.9907 0.8675
Tm 0.3713 0.4680 0.1616
Tm 0.4680 0.1616 0.3713
Tm 0.5320 0.8384 0.6287
Tm 0.6287 0.5320 0.8384
Tm 0.6923 0.0093 0.1325
Tm 0.8384 0.6287 0.5320
Tm 0.8675 0.3077 0.9907
Tm 0.9907 0.8675 0.3077
Zn 0.0000 0.0000 0.0000
Cu 0.1524 0.6417 0.3421
Cu 0.3421 0.1524 0.6417
Cu 0.3583 0.6579 0.8476
Cu 0.6417 0.3421 0.1524
Cu 0.6579 0.8476 0.3583
Cu 0.8476 0.3583 0.6579

Values from the calculation:
Formation energy from the elements = -0.4 eV per formula unit
Crystal system = trigonal
Magnetization = 0.0 Bohr magnetons per cell